VASP calculation (PBE) on a relaxed TbPr3In crystal.

Values from the calculation:
* VASP energy: -22.7 eV per formula unit
* size of the total moment: 0.00 μB/cell
* crystal system: orthorhombic
* Fermi-level density of states: 12.38 states/eV/cell

Cell: 4.947 4.946 13.231 Å, 90.00 79.23 90.00°
Atoms (fractional coordinates):
Pr (0.878, 0.750, 0.892)
Pr (0.268, 0.750, 0.112)
Pr (0.380, 0.250, 0.888)
Pr (0.770, 0.250, 0.108)
Pr (0.574, 0.250, 0.501)
Pr (0.075, 0.750, 0.499)
Tb (0.476, 0.750, 0.696)
Tb (0.172, 0.250, 0.304)
In (0.671, 0.750, 0.307)
In (0.978, 0.250, 0.693)

VASP calculation (PBE) on a relaxed K6Rb3O crystal.

Values from the calculation:
* VASP energy: -17.3 eV per formula unit
* size of the total moment: 0.00 μB/cell
* crystal system: orthorhombic
* Fermi-level density of states: 13.02 states/eV/cell
* E_form (uncorrected): -0.29 eV/atom

Cell: 7.545 13.648 13.648 Å, 106.68 90.00 90.00°
Atoms (fractional coordinates):
K (0.139, 0.728, 0.577)
K (0.139, 0.131, 0.869)
K (0.745, 0.250, 0.750)
K (0.639, 0.577, 0.728)
K (0.661, 0.907, 0.400)
K (0.161, 0.400, 0.907)
K (0.161, 0.093, 0.600)
K (0.139, 0.423, 0.272)
K (0.639, 0.272, 0.423)
K (0.245, 0.750, 0.250)
K (0.661, 0.600, 0.093)
K (0.639, 0.869, 0.131)
Rb (0.138, 0.766, 0.917)
Rb (0.638, 0.917, 0.766)
Rb (0.645, 0.630, 0.370)
Rb (0.638, 0.234, 0.083)
Rb (0.138, 0.083, 0.234)
Rb (0.145, 0.370, 0.630)
O (0.580, 0.753, 0.247)
O (0.080, 0.247, 0.753)